# Li3PuSe2S | Alexandria | PBE | optimized geometry
# E_form (uncorrected) (eV/atom): -1.213
data_Li3PuSe2S
_space_group_name_H-M_alt 'P 1'
_space_group_IT_number 1
_cell_length_a 5.4294
_cell_length_b 4.4969
_cell_length_c 7.6570
_cell_angle_alpha 107.08
_cell_angle_beta 110.77
_cell_angle_gamma 90.00
loop_
_space_group_symop_operation_xyz
'x,y,z'
loop_
_atom_site_label
_atom_site_fract_x
_atom_site_fract_y
_atom_site_fract_z
Li1 0.0000 0.5000 0.0000
Li2 0.1807 0.1807 0.3615
Li3 0.8193 0.8193 0.6385
Pu1 0.5000 0.0000 0.0000
Se1 0.6372 0.6372 0.2745
Se2 0.3628 0.3628 0.7255
S1 0.0000 0.0000 0.0000